Entry 1:
Compound: Li2ZnRe
Source: the Alexandria database
Functional: PBE-GGA
Structure: relaxed

Cell lengths 9.540, 9.540, 9.540 Å; angles 16.24, 16.24, 16.24 degrees
Positions (direct):
Li: 0.248 0.248 0.248
Li: 0.752 0.752 0.752
Zn: 0.000 0.000 0.000
Re: 0.500 0.500 0.500

---

Entry 2:
Compound: Rb3Cr20Se32
Source: the Alexandria database
Functional: PBE-GGA
Structure: relaxed

Cell lengths 11.001, 11.571, 11.735 Å; angles 69.11, 81.82, 62.59 degrees
Positions (direct):
Rb: 0.000 0.000 0.000
Rb: 0.280 0.720 0.280
Rb: 0.720 0.280 0.720
Cr: 0.042 0.643 0.879
Cr: 0.087 0.322 0.514
Cr: 0.125 0.875 0.625
Cr: 0.161 0.429 0.736
Cr: 0.209 0.107 0.372
Cr: 0.292 0.391 0.130
Cr: 0.337 0.071 0.764
Cr: 0.375 0.625 0.875
Cr: 0.411 0.179 0.986
Cr: 0.458 0.860 0.621
Cr: 0.542 0.140 0.379
Cr: 0.589 0.821 0.014
Cr: 0.625 0.375 0.125
Cr: 0.663 0.929 0.236
Cr: 0.708 0.609 0.870
Cr: 0.791 0.893 0.628
Cr: 0.839 0.571 0.264
Cr: 0.875 0.125 0.375
Cr: 0.913 0.678 0.486
Cr: 0.958 0.357 0.121
Se: 0.017 0.134 0.520
Se: 0.070 0.102 0.225
Se: 0.093 0.249 0.741
Se: 0.095 0.382 0.274
Se: 0.154 0.368 0.976
Se: 0.156 0.500 0.510
Se: 0.182 0.645 0.027
Se: 0.232 0.617 0.730
Se: 0.267 0.884 0.771
Se: 0.320 0.855 0.477
Se: 0.345 0.133 0.524
Se: 0.345 0.998 0.992
Se: 0.404 0.251 0.759
Se: 0.405 0.117 0.226
Se: 0.433 0.392 0.276
Se: 0.482 0.367 0.979
Se: 0.518 0.633 0.021
Se: 0.567 0.608 0.724
Se: 0.595 0.883 0.774
Se: 0.596 0.749 0.241
Se: 0.655 0.002 0.008
Se: 0.655 0.867 0.476
Se: 0.680 0.145 0.523
Se: 0.733 0.116 0.229
Se: 0.768 0.383 0.270
Se: 0.818 0.355 0.973
Se: 0.844 0.500 0.490
Se: 0.846 0.632 0.024
Se: 0.905 0.618 0.726
Se: 0.907 0.751 0.259
Se: 0.930 0.898 0.775
Se: 0.983 0.866 0.480

Values from the calculation:
* energy relative to the elements, uncorrected: -629 meV/atom

---

Entry 3:
Compound: MnCr3Re
Source: the Alexandria database
Functional: PBE-GGA
Structure: relaxed

Cell lengths 4.116, 4.116, 4.116 Å; angles 90.00, 90.00, 90.00 degrees
Positions (direct):
Mn: 0.000 0.000 0.000
Cr: 0.000 0.000 0.500
Cr: 0.000 0.500 0.000
Cr: 0.500 0.000 0.000
Re: 0.500 0.500 0.500

---

Number 1: VASP energy -4.271 eV/atom, density of states at the Fermi level 3.89 states/eV/f.u.. Number 2: VASP energy -6.209 eV/atom, density of states at the Fermi level 11.75 states/eV/f.u.. Number 3: VASP energy -8.877 eV/atom, density of states at the Fermi level 5.50 states/eV/f.u..